# HfScPSe (PBE-GGA, relaxed)
data_HfScPSe
_chemical_formula_sum 'Hf1 Sc1 P1 Se1'
_symmetry_space_group_name_H-M 'P 1'
_symmetry_Int_Tables_number 1
_symmetry_space_group_name_Hall 'P 1'
_cell_length_a 6.894
_cell_length_b 6.894
_cell_length_c 6.894
_cell_angle_alpha 31.14
_cell_angle_beta 31.14
_cell_angle_gamma 31.14
loop_
_atom_site_label
_atom_site_type_symbol
_atom_site_fract_x
_atom_site_fract_y
_atom_site_fract_z
_atom_site_occupancy
Hf1 Hf 0.000 0.000 0.000 1
Sc1 Sc 0.189 0.189 0.189 1
P1 P 0.596 0.596 0.596 1
Se1 Se 0.425 0.425 0.425 1
# formation energy (no corrections): -1405 meV/atom